Entry 1:
DFT (SCAN) results for a PBEsol-optimized structure of Hf2SiRuN.

## Properties
Raw formation energy in meV per atom: -731
Distance to the lowest polymorph of the same formula in meV per atom: 0.0
Theoretical density in g/cm3: 11.73
Crystal system: tetragonal

abc: 4.362 4.362 3.722
angles: 90.00 90.00 90.00
Fractional positions:
Hf: 0.000 0.500 0.000
Hf: 0.500 0.000 0.000
Si: 0.000 0.000 0.500
Ru: 0.500 0.500 0.500
N: 0.000 0.000 0.000



Entry 2:
DFT (SCAN) results for a PBEsol-optimized structure of LaZrSe2.

## Properties
Raw formation energy in meV per atom: -1670
Distance to the lowest polymorph of the same formula in meV per atom: 0.0
Theoretical density in g/cm3: 6.98
Crystal system: trigonal

abc: 6.896 6.896 6.896
angles: 34.17 34.17 34.17
Fractional positions:
La: 0.000 0.000 0.000
Zr: 0.500 0.500 0.500
Se: 0.240 0.240 0.240
Se: 0.760 0.760 0.760



Entry 3:
DFT (SCAN) results for a PBEsol-optimized structure of Cd2AgHg.

## Properties
E_tot in eV per atom: -40.104
Theoretical density in g/cm3: 11.39
Crystal system: orthorhombic

abc: 3.163 4.744 5.182
angles: 90.00 90.00 90.00
Fractional positions:
Cd: 0.000 0.000 0.000
Cd: 0.000 0.500 0.344
Ag: 0.500 0.000 0.493
Hg: 0.500 0.500 0.830



Entry 4:
DFT (SCAN) results for a PBEsol-optimized structure of MnAl2Zn.

## Properties
E_tot in eV per atom: -12.058
Theoretical density in g/cm3: 5.32
Crystal system: orthorhombic

abc: 4.565 4.565 2.742
angles: 90.00 90.00 107.65
Fractional positions:
Mn: 0.000 0.000 0.000
Al: 0.000 0.500 0.500
Al: 0.500 0.000 0.500
Zn: 0.500 0.500 0.000



Magnetic moment values (in μB/cell) by entry order: 0.00; 0.00; 0.00; 2.64.